# PBE with a Hubbard U FeClO, optimized geometry
# - DFT total energy: -5.3621 eV/atom
# - ΔE to the lowest computed polymorph: 0 meV per atom
data_FeClO
_chemical_formula_sum 'Fe2 Cl2 O2'
_cell_length_a 3.311
_cell_length_b 3.913
_cell_length_c 8.516
_cell_angle_alpha 90.00
_cell_angle_beta 90.00
_cell_angle_gamma 90.00
_symmetry_space_group_name_H-M 'P m m n'
_symmetry_Int_Tables_number 59
loop_
_symmetry_equiv_pos_as_xyz
'x,y,z'
'-x,-y,-z'
'-x+1/2,-y+1/2,z'
'x+1/2,y+1/2,-z'
'x+1/2,-y,-z'
'-x+1/2,y,z'
'-x,y+1/2,-z'
'x,-y+1/2,z'
loop_
_atom_site_label
_atom_site_fract_x
_atom_site_fract_y
_atom_site_fract_z
Fe1 0.250 0.250 0.105
Cl1 0.250 0.750 0.691
O1 0.250 0.750 0.046